# 1
A geometry-optimized ZrBiNF2 structure. Source: the Alexandria database, functional PBE.

Cell lengths 4.466, 4.466, 4.676 Å; angles 90.00, 90.00, 90.00 degrees
Last column: magnetic moment on the atom in μB.
Sites, in units of the cell vectors:
N (0.000, 0.000, 0.500)  -0.07
Bi (0.000, 0.000, 0.000)  0.04
Zr (0.500, 0.500, 0.500)  1.50
F (0.000, 0.500, 0.000)  0.04
F (0.500, 0.000, 0.000)  0.04

Summary:
The space group is P4/mmm. The calculation puts the polymorph energy (0 for the lowest one) at 1.1901 eV/atom. The formation energy from raw total energies is -0.2746 eV/atom.

# 2
A geometry-optimized ZrBiN2F structure. Source: the Alexandria database, functional PBE.

Cell lengths 4.360, 4.360, 4.084 Å; angles 90.00, 90.00, 90.00 degrees
Sites, in units of the cell vectors:
N (0.000, 0.500, 0.000)
N (0.500, 0.000, 0.000)
Bi (0.500, 0.500, 0.500)
Zr (0.000, 0.000, 0.000)
F (0.000, 0.000, 0.500)

Summary:
The space group is P4/mmm. The calculation puts the polymorph energy (0 for the lowest one) at 0.0000 eV/atom. The formation energy from raw total energies is -0.7199 eV/atom.

# 3
A geometry-optimized ZrBiN2F structure. Source: the Alexandria database, functional PBE.

Cell lengths 4.399, 4.399, 4.232 Å; angles 90.00, 90.00, 90.00 degrees
Sites, in units of the cell vectors:
N (0.000, 0.500, 0.000)
N (0.500, 0.000, 0.000)
Bi (0.000, 0.000, 0.000)
Zr (0.500, 0.500, 0.500)
F (0.000, 0.000, 0.500)

Summary:
The space group is P4/mmm. The calculation puts the polymorph energy (0 for the lowest one) at 1.2327 eV/atom. The formation energy from raw total energies is 0.5127 eV/atom.

# 4
A geometry-optimized ZrBiNF2 structure. Source: the Alexandria database, functional PBE.

Cell lengths 4.326, 4.326, 4.335 Å; angles 90.00, 90.00, 90.00 degrees
Sites, in units of the cell vectors:
N (0.000, 0.000, 0.500)
Bi (0.500, 0.500, 0.500)
Zr (0.000, 0.000, 0.000)
F (0.000, 0.500, 0.000)
F (0.500, 0.000, 0.000)

Summary:
The space group is P4/mmm. The calculation puts the polymorph energy (0 for the lowest one) at 0.0000 eV/atom. The formation energy from raw total energies is -1.4648 eV/atom.